Record 1
DFT (PBE-GGA) results for an optimized crystal structure of Rb2YIO6.

Output
mass density = 4.77 Mg/m³
total energy = -5.60 eV per atom
formation energy from raw total energies = -1.6261 eV per atom

```
data_Rb2YIO6
_symmetry_space_group_name_H-M 'R -3 m'
_symmetry_Int_Tables_number 166
_symmetry_space_group_name_Hall '-R 3 2"'
_cell_length_a 6.2229
_cell_length_b 6.2229
_cell_length_c 30.0404
_cell_angle_alpha 90.00
_cell_angle_beta 90.00
_cell_angle_gamma 120.00
loop_
_atom_site_label
_atom_site_type_symbol
_atom_site_fract_x
_atom_site_fract_y
_atom_site_fract_z
Rb1 Rb 0.0000 0.0000 0.1328
Rb2 Rb 0.0000 0.0000 0.2699
Y1 Y 0.0000 0.0000 0.4002
I1 I 0.0000 0.0000 0.0000
I2 I 0.0000 0.0000 0.5000
O1 O 0.0417 0.5208 0.7029
O2 O 0.0535 0.5267 0.1275
```

---

Record 2
DFT (PBE-GGA) results for an optimized crystal structure of RbYI2O.

Output
mass density = 4.24 Mg/m³
total energy = -4.96 eV per atom
formation energy from raw total energies = -1.8641 eV per atom
energy above the most stable polymorph in this dataset = 0.000 eV per atom

```
data_RbYI2O
_symmetry_space_group_name_H-M 'P 4/m m m'
_symmetry_Int_Tables_number 123
_symmetry_space_group_name_Hall '-P 4 2'
_cell_length_a 6.3931
_cell_length_b 6.3931
_cell_length_c 4.2594
_cell_angle_alpha 90.00
_cell_angle_beta 90.00
_cell_angle_gamma 90.00
loop_
_atom_site_label
_atom_site_type_symbol
_atom_site_fract_x
_atom_site_fract_y
_atom_site_fract_z
Rb1 Rb 0.0000 0.0000 0.0000
Y1 Y 0.5000 0.5000 0.5000
I1 I 0.0000 0.5000 0.5000
O1 O 0.5000 0.5000 0.0000
```

---

Record 3
DFT (PBE-GGA) results for an optimized crystal structure of RbYI2O.

Output
mass density = 4.22 Mg/m³
total energy = -3.21 eV per atom
formation energy from raw total energies = -0.1116 eV per atom
energy above the most stable polymorph in this dataset = 1.753 eV per atom

```
data_RbYI2O
_symmetry_space_group_name_H-M 'P 4/m m m'
_symmetry_Int_Tables_number 123
_symmetry_space_group_name_Hall '-P 4 2'
_cell_length_a 6.3891
_cell_length_b 6.3891
_cell_length_c 4.2844
_cell_angle_alpha 90.00
_cell_angle_beta 90.00
_cell_angle_gamma 90.00
loop_
_atom_site_label
_atom_site_type_symbol
_atom_site_fract_x
_atom_site_fract_y
_atom_site_fract_z
Rb1 Rb 0.0000 0.0000 0.0000
Y1 Y 0.5000 0.5000 0.5000
I1 I 0.0000 0.5000 0.0000
O1 O 0.0000 0.0000 0.5000
```

---

Record 4
DFT (PBE-GGA) results for an optimized crystal structure of RbYI2O8.

Output
mass density = 3.34 Mg/m³
total energy = -5.24 eV per atom
formation energy from raw total energies = -1.0602 eV per atom

```
data_RbYI2O8
_symmetry_space_group_name_H-M 'P -3 m 1'
_symmetry_Int_Tables_number 164
_symmetry_space_group_name_Hall '-P 3 2"'
_cell_length_a 6.2764
_cell_length_b 6.2764
_cell_length_c 8.0992
_cell_angle_alpha 90.00
_cell_angle_beta 90.00
_cell_angle_gamma 120.00
loop_
_atom_site_label
_atom_site_type_symbol
_atom_site_fract_x
_atom_site_fract_y
_atom_site_fract_z
Rb1 Rb 0.0000 0.0000 0.0000
Y1 Y 0.0000 0.0000 0.5000
I1 I 0.3333 0.6667 0.2824
O1 O 0.1605 0.3210 0.3220
O2 O 0.3333 0.6667 0.0619
```

---

Record 5
DFT (PBE-GGA) results for an optimized crystal structure of RbZnIO2.

Output
mass density = 3.43 Mg/m³
total energy = -2.14 eV per atom
formation energy from raw total energies = 0.6049 eV per atom
energy above the most stable polymorph in this dataset = 0.890 eV per atom

```
data_RbZnIO2
_symmetry_space_group_name_H-M 'P 4/m m m'
_symmetry_Int_Tables_number 123
_symmetry_space_group_name_Hall '-P 4 2'
_cell_length_a 4.4921
_cell_length_b 4.4921
_cell_length_c 7.4302
_cell_angle_alpha 90.00
_cell_angle_beta 90.00
_cell_angle_gamma 90.00
loop_
_atom_site_label
_atom_site_type_symbol
_atom_site_fract_x
_atom_site_fract_y
_atom_site_fract_z
Rb1 Rb 0.0000 0.0000 0.0000
Zn1 Zn 0.5000 0.5000 0.5000
I1 I 0.0000 0.0000 0.5000
O1 O 0.0000 0.5000 0.0000
```

---

Record 6
DFT (PBE-GGA) results for an optimized crystal structure of RbZnIO2.

Output
mass density = 4.52 Mg/m³
total energy = -3.03 eV per atom
formation energy from raw total energies = -0.2854 eV per atom
energy above the most stable polymorph in this dataset = 0.000 eV per atom

```
data_RbZnIO2
_symmetry_space_group_name_H-M 'P 4/m m m'
_symmetry_Int_Tables_number 123
_symmetry_space_group_name_Hall '-P 4 2'
_cell_length_a 4.5360
_cell_length_b 4.5360
_cell_length_c 5.5327
_cell_angle_alpha 90.00
_cell_angle_beta 90.00
_cell_angle_gamma 90.00
loop_
_atom_site_label
_atom_site_type_symbol
_atom_site_fract_x
_atom_site_fract_y
_atom_site_fract_z
Rb1 Rb 0.0000 0.0000 0.0000
Zn1 Zn 0.5000 0.5000 0.5000
I1 I 0.5000 0.5000 0.0000
O1 O 0.0000 0.5000 0.5000
```

---

Record 7
DFT (PBE-GGA) results for an optimized crystal structure of RbZn2IO.

Output
mass density = 3.33 Mg/m³
total energy = -1.81 eV per atom
formation energy from raw total energies = 0.1903 eV per atom

```
data_RbZn2IO
_symmetry_space_group_name_H-M 'P 4/m m m'
_symmetry_Int_Tables_number 123
_symmetry_space_group_name_Hall '-P 4 2'
_cell_length_a 6.5231
_cell_length_b 6.5231
_cell_length_c 4.2062
_cell_angle_alpha 90.00
_cell_angle_beta 90.00
_cell_angle_gamma 90.00
loop_
_atom_site_label
_atom_site_type_symbol
_atom_site_fract_x
_atom_site_fract_y
_atom_site_fract_z
Rb1 Rb 0.0000 0.0000 0.0000
Zn1 Zn 0.0000 0.5000 0.5000
I1 I 0.5000 0.5000 0.5000
O1 O 0.5000 0.5000 0.0000
```

---

Record 8
DFT (PBE-GGA) results for an optimized crystal structure of RbZrI2O8.

Output
mass density = 4.32 Mg/m³
total energy = -5.46 eV per atom
formation energy from raw total energies = -1.1059 eV per atom

```
data_RbZrI2O8
_symmetry_space_group_name_H-M 'C 1 2/m 1'
_symmetry_Int_Tables_number 12
_cell_length_a 11.7090
_cell_length_b 5.8280
_cell_length_c 6.7079
_cell_angle_alpha 90.00
_cell_angle_beta 110.28
_cell_angle_gamma 90.00
loop_
_symmetry_equiv_pos_as_xyz
'x,y,z'
'-x,-y,-z'
'-x,y,-z'
'x,-y,z'
'x+1/2,y+1/2,z'
'-x+1/2,-y+1/2,-z'
'-x+1/2,y+1/2,-z'
'x+1/2,-y+1/2,z'
loop_
_atom_site_label
_atom_site_type_symbol
_atom_site_fract_x
_atom_site_fract_y
_atom_site_fract_z
Rb1 Rb 0.0000 0.0000 0.0000
Zr1 Zr 0.0000 0.5000 0.5000
I1 I 0.2201 0.0000 0.6780
O1 O 0.0958 0.5000 0.2949
O2 O 0.1159 0.2414 0.7039
O3 O 0.1780 0.0000 0.3946
```

---

Record 9
DFT (PBE-GGA) results for an optimized crystal structure of Rb2ZrI6O18.

Output
mass density = 4.50 Mg/m³
total energy = -4.93 eV per atom
formation energy from raw total energies = -0.8949 eV per atom

```
data_Rb2ZrI6O18
_symmetry_space_group_name_H-M 'R -3'
_symmetry_Int_Tables_number 148
_symmetry_space_group_name_Hall '-R 3'
_cell_length_a 11.8961
_cell_length_b 11.8961
_cell_length_c 11.8390
_cell_angle_alpha 90.00
_cell_angle_beta 90.00
_cell_angle_gamma 120.00
loop_
_atom_site_label
_atom_site_type_symbol
_atom_site_fract_x
_atom_site_fract_y
_atom_site_fract_z
Rb1 Rb 0.0000 0.0000 0.1685
Zr1 Zr 0.0000 0.0000 0.5000
I1 I 0.0147 0.4028 0.2808
O1 O 0.0420 0.5782 0.8574
O2 O 0.0502 0.1580 0.6092
O3 O 0.0663 0.5378 0.6264
```

---

Record 10
DFT (PBE-GGA) results for an optimized crystal structure of RbZr2IO8.

Output
mass density = 4.47 Mg/m³
total energy = -6.79 eV per atom
formation energy from raw total energies = -1.8454 eV per atom

```
data_RbZr2IO8
_symmetry_space_group_name_H-M 'C 1 2/m 1'
_symmetry_Int_Tables_number 12
_cell_length_a 8.4628
_cell_length_b 6.3902
_cell_length_c 7.4585
_cell_angle_alpha 90.00
_cell_angle_beta 105.75
_cell_angle_gamma 90.00
loop_
_symmetry_equiv_pos_as_xyz
'x,y,z'
'-x,-y,-z'
'-x,y,-z'
'x,-y,z'
'x+1/2,y+1/2,z'
'-x+1/2,-y+1/2,-z'
'-x+1/2,y+1/2,-z'
'x+1/2,-y+1/2,z'
loop_
_atom_site_label
_atom_site_type_symbol
_atom_site_fract_x
_atom_site_fract_y
_atom_site_fract_z
Rb1 Rb 0.0000 0.0000 0.0000
Zr1 Zr 0.0486 0.5000 0.2227
I1 I 0.0000 0.0000 0.5000
O1 O 0.0082 0.2132 0.6833
O2 O 0.1533 0.5000 0.0130
O3 O 0.2275 0.0000 0.5602
```

---

Record 11
DFT (PBE-GGA) results for an optimized crystal structure of RbZrIO2.

Output
mass density = 4.90 Mg/m³
total energy = -6.00 eV per atom
formation energy from raw total energies = -1.8081 eV per atom
energy above the most stable polymorph in this dataset = 0.000 eV per atom

```
data_RbZrIO2
_symmetry_space_group_name_H-M 'P 4/m m m'
_symmetry_Int_Tables_number 123
_symmetry_space_group_name_Hall '-P 4 2'
_cell_length_a 4.3593
_cell_length_b 4.3593
_cell_length_c 5.9860
_cell_angle_alpha 90.00
_cell_angle_beta 90.00
_cell_angle_gamma 90.00
loop_
_atom_site_label
_atom_site_type_symbol
_atom_site_fract_x
_atom_site_fract_y
_atom_site_fract_z
Rb1 Rb 0.0000 0.0000 0.0000
Zr1 Zr 0.5000 0.5000 0.5000
I1 I 0.5000 0.5000 0.0000
O1 O 0.0000 0.5000 0.5000
```

---

Record 12
DFT (PBE-GGA) results for an optimized crystal structure of RbZrIO2.

Output
mass density = 4.65 Mg/m³
total energy = -3.47 eV per atom
formation energy from raw total energies = 0.7242 eV per atom
energy above the most stable polymorph in this dataset = 2.532 eV per atom

```
data_RbZrIO2
_symmetry_space_group_name_H-M 'P 4/m m m'
_symmetry_Int_Tables_number 123
_symmetry_space_group_name_Hall '-P 4 2'
_cell_length_a 4.4216
_cell_length_b 4.4216
_cell_length_c 6.1302
_cell_angle_alpha 90.00
_cell_angle_beta 90.00
_cell_angle_gamma 90.00
loop_
_atom_site_label
_atom_site_type_symbol
_atom_site_fract_x
_atom_site_fract_y
_atom_site_fract_z
Rb1 Rb 0.0000 0.0000 0.0000
Zr1 Zr 0.5000 0.5000 0.5000
I1 I 0.0000 0.0000 0.5000
O1 O 0.0000 0.5000 0.0000
```

---

Record 13
DFT (PBE-GGA) results for an optimized crystal structure of RbZrI2O.

Output
mass density = 4.72 Mg/m³
total energy = -5.04 eV per atom
formation energy from raw total energies = -1.5260 eV per atom
energy above the most stable polymorph in this dataset = 0.000 eV per atom

```
data_RbZrI2O
_symmetry_space_group_name_H-M 'P 4/m m m'
_symmetry_Int_Tables_number 123
_symmetry_space_group_name_Hall '-P 4 2'
_cell_length_a 6.1881
_cell_length_b 6.1881
_cell_length_c 4.1053
_cell_angle_alpha 90.00
_cell_angle_beta 90.00
_cell_angle_gamma 90.00
loop_
_atom_site_label
_atom_site_type_symbol
_atom_site_fract_x
_atom_site_fract_y
_atom_site_fract_z
Rb1 Rb 0.0000 0.0000 0.0000
Zr1 Zr 0.5000 0.5000 0.5000
I1 I 0.0000 0.5000 0.5000
O1 O 0.5000 0.5000 0.0000
```

---

Record 14
DFT (PBE-GGA) results for an optimized crystal structure of Rb2ZrI6O.

Output
mass density = 4.21 Mg/m³
total energy = -3.33 eV per atom
formation energy from raw total energies = -0.8579 eV per atom

```
data_Rb2ZrI6O
_symmetry_space_group_name_H-M 'I 4/m m m'
_symmetry_Int_Tables_number 139
_symmetry_space_group_name_Hall '-I 4 2'
_cell_length_a 9.0310
_cell_length_b 9.0310
_cell_length_c 10.0603
_cell_angle_alpha 90.00
_cell_angle_beta 90.00
_cell_angle_gamma 90.00
loop_
_atom_site_label
_atom_site_type_symbol
_atom_site_fract_x
_atom_site_fract_y
_atom_site_fract_z
Rb1 Rb 0.0000 0.5000 0.2500
Zr1 Zr 0.0000 0.0000 0.0000
I1 I 0.0000 0.0000 0.2849
I2 I 0.2273 0.2273 0.0000
O1 O 0.0000 0.0000 0.5000
```

---

Record 15
DFT (PBE-GGA) results for an optimized crystal structure of RbZrI2O.

Output
mass density = 4.35 Mg/m³
total energy = -3.03 eV per atom
formation energy from raw total energies = 0.4843 eV per atom
energy above the most stable polymorph in this dataset = 2.010 eV per atom

```
data_RbZrI2O
_symmetry_space_group_name_H-M 'P 4/m m m'
_symmetry_Int_Tables_number 123
_symmetry_space_group_name_Hall '-P 4 2'
_cell_length_a 6.3660
_cell_length_b 6.3660
_cell_length_c 4.2039
_cell_angle_alpha 90.00
_cell_angle_beta 90.00
_cell_angle_gamma 90.00
loop_
_atom_site_label
_atom_site_type_symbol
_atom_site_fract_x
_atom_site_fract_y
_atom_site_fract_z
Rb1 Rb 0.0000 0.0000 0.0000
Zr1 Zr 0.5000 0.5000 0.5000
I1 I 0.0000 0.5000 0.0000
O1 O 0.0000 0.0000 0.5000
```

---

Record 16
DFT (PBE-GGA) results for an optimized crystal structure of Re2IO.

Output
mass density = 12.10 Mg/m³
total energy = -7.26 eV per atom
formation energy from raw total energies = 0.5886 eV per atom
energy above the most stable polymorph in this dataset = 0.000 eV per atom

```
data_Re2IO
_symmetry_space_group_name_H-M 'I -4 2 d'
_symmetry_Int_Tables_number 122
_symmetry_space_group_name_Hall 'I -4 2bw'
_cell_length_a 4.4233
_cell_length_b 4.4233
_cell_length_c 14.4547
_cell_angle_alpha 90.00
_cell_angle_beta 90.00
_cell_angle_gamma 90.00
loop_
_atom_site_label
_atom_site_type_symbol
_atom_site_fract_x
_atom_site_fract_y
_atom_site_fract_z
Re1 Re 0.1297 0.2500 0.1250
I1 I 0.0000 0.0000 0.5000
O1 O 0.0000 0.0000 0.0000
```

---

Record 17
DFT (PBE-GGA) results for an optimized crystal structure of Re2IO7.

Output
mass density = 3.90 Mg/m³
total energy = -7.31 eV per atom
formation energy from raw total energies = -1.1946 eV per atom

```
data_Re2IO7
_symmetry_space_group_name_H-M 'C m m m'
_symmetry_Int_Tables_number 65
_symmetry_space_group_name_Hall '-C 2 2'
_cell_length_a 7.7694
_cell_length_b 17.7906
_cell_length_c 3.7686
_cell_angle_alpha 90.00
_cell_angle_beta 90.00
_cell_angle_gamma 90.00
loop_
_atom_site_label
_atom_site_type_symbol
_atom_site_fract_x
_atom_site_fract_y
_atom_site_fract_z
Re1 Re 0.0000 0.1079 0.0000
I1 I 0.0000 0.5000 0.5000
O1 O 0.0000 0.0000 0.0000
O2 O 0.0000 0.0956 0.5000
O3 O 0.1816 0.1635 0.0000
```

---

Record 18
DFT (PBE-GGA) results for an optimized crystal structure of ReI2O2.

Output
mass density = 5.96 Mg/m³
total energy = -4.08 eV per atom
formation energy from raw total energies = 1.0136 eV per atom
energy above the most stable polymorph in this dataset = 1.133 eV per atom

```
data_ReI2O2
_symmetry_space_group_name_H-M 'P 4/m m m'
_symmetry_Int_Tables_number 123
_symmetry_space_group_name_Hall '-P 4 2'
_cell_length_a 4.0522
_cell_length_b 4.0522
_cell_length_c 8.0100
_cell_angle_alpha 90.00
_cell_angle_beta 90.00
_cell_angle_gamma 90.00
loop_
_atom_site_label
_atom_site_type_symbol
_atom_site_fract_x
_atom_site_fract_y
_atom_site_fract_z
Re1 Re 0.0000 0.0000 0.0000
I1 I 0.5000 0.5000 0.0000
I2 I 0.5000 0.5000 0.5000
O1 O 0.0000 0.5000 0.5000
```

---

Record 19
DFT (PBE-GGA) results for an optimized crystal structure of ReI2O2.

Output
mass density = 8.12 Mg/m³
total energy = -5.21 eV per atom
formation energy from raw total energies = -0.1194 eV per atom
energy above the most stable polymorph in this dataset = 0.000 eV per atom

```
data_ReI2O2
_symmetry_space_group_name_H-M 'P 4/m m m'
_symmetry_Int_Tables_number 123
_symmetry_space_group_name_Hall '-P 4 2'
_cell_length_a 4.0688
_cell_length_b 4.0688
_cell_length_c 5.8341
_cell_angle_alpha 90.00
_cell_angle_beta 90.00
_cell_angle_gamma 90.00
loop_
_atom_site_label
_atom_site_type_symbol
_atom_site_fract_x
_atom_site_fract_y
_atom_site_fract_z
Re1 Re 0.0000 0.0000 0.0000
I1 I 0.0000 0.0000 0.5000
I2 I 0.5000 0.5000 0.5000
O1 O 0.0000 0.5000 0.0000
```

---

Record 20
DFT (PBE-GGA) results for an optimized crystal structure of ReIO4.

Output
mass density = 4.10 Mg/m³
total energy = -6.67 eV per atom
formation energy from raw total energies = -1.0318 eV per atom

```
data_ReIO4
_symmetry_space_group_name_H-M 'P m n 21'
_symmetry_Int_Tables_number 31
_cell_length_a 7.4384
_cell_length_b 7.4280
_cell_length_c 5.5336
_cell_angle_alpha 90.00
_cell_angle_beta 90.00
_cell_angle_gamma 90.00
loop_
_symmetry_equiv_pos_as_xyz
'x,y,z'
'-x+1/2,-y,z+1/2'
'-x,y,z'
'x+1/2,-y,z+1/2'
loop_
_atom_site_label
_atom_site_type_symbol
_atom_site_fract_x
_atom_site_fract_y
_atom_site_fract_z
Re1 Re 0.0000 0.2462 0.0000
I1 I 0.0000 0.6589 0.7250
O1 O 0.0000 0.1645 0.2920
O2 O 0.0000 0.4992 0.0202
O3 O 0.1896 0.1700 0.8496
```